# Ta2CuSb GGA-PBE relaxed
data_Ta2CuSb
_space_group_name_H-M_alt 'P 4/m m m'
_space_group_IT_number 123
_space_group_name_Hall '-P 4 2'
_cell_length_a 3.023
_cell_length_b 3.023
_cell_length_c 7.753
_cell_angle_alpha 90.00
_cell_angle_beta 90.00
_cell_angle_gamma 90.00
loop_
_atom_site_label
_atom_site_type_symbol
_atom_site_fract_x
_atom_site_fract_y
_atom_site_fract_z
_atom_site_occupancy
Ta1 Ta 0.000 0.000 0.220 1
Cu1 Cu 0.500 0.500 0.000 1
Sb1 Sb 0.500 0.500 0.500 1
# Density, Mg/m³: 12.8
# ΔE_f (raw), kJ per mole of atoms: 30.30
# D(E_F), states/eV per cell: 4.02